First-principles (PBE-GGA) data for a geometry-optimized SmAl2Hg structure, as listed in the Alexandria database.

Summary:
Total energy = -13.8 eV per cell
Formation energy from the elements = -1.31 eV/f.u.
DOS at the Fermi energy = 1.89 states/eV/f.u.
Space-group type = No. 123
Relative energy among the computed polymorphs = 10.5 meV/atom

```
4
Lattice="4.373 0.000 0.000 0.000 4.467 0.000 0.000 0.000 4.467" Properties=species:S:1:pos:R:3 pbc="T T T"
Al 0.000 2.233 0.000
Hg 2.187 0.000 0.000
Sm 2.187 2.233 2.233
Al 0.000 0.000 2.233
```